No. 1
! BaSn2SbS, relaxed, DFT GGA-PBEsol; values from VASP
&SYSTEM
  ibrav = 0, nat = 5, ntyp = 4
/
ATOMIC_SPECIES
Sn 118.71 Sn.upf
Ba 137.33 Ba.upf
S 32.06 S.upf
Sb 121.76 Sb.upf
CELL_PARAMETERS angstrom
5.2900 0.0000 0.0000
0.0000 5.3728 0.0000
0.0000 0.0000 5.3728
ATOMIC_POSITIONS angstrom
Sn 0.0000 2.6864 0.0000
Sn 0.0000 0.0000 2.6864
Ba 2.6450 2.6864 2.6864
S 0.0000 0.0000 0.0000
Sb 2.6450 0.0000 0.0000
! Energy = -20.75 eV for the cell shown
! ΔE_f (raw) = -1.144 eV/f.u.

No. 2
! Ba2SiS4, relaxed, DFT GGA-PBEsol; values from VASP
&SYSTEM
  ibrav = 0, nat = 28, ntyp = 3
/
ATOMIC_SPECIES
S 32.06 S.upf
Si 28.09 Si.upf
Ba 137.33 Ba.upf
CELL_PARAMETERS angstrom
-6.5418 0.8898 -1.1397
0.7886 -4.1702 -7.7825
-2.3721 -10.5244 5.3992
ATOMIC_POSITIONS angstrom
S -1.4748 -2.8510 -3.6064
S -2.7855 -7.2830 0.4571
S -5.3397 -6.5219 -3.9801
S -3.0295 -4.5520 -6.1931
S -6.3161 -5.6360 2.3162
S -6.1886 -4.1223 -6.7435
S -4.2213 -9.2078 -2.3140
S -7.0630 -4.1675 -1.7594
S -1.9366 -9.6826 3.2205
S -1.0622 -9.6374 -1.7636
S -4.9702 -1.0481 -1.8273
S -5.0957 -9.2530 2.6701
S -6.6504 -10.9539 0.0834
S -3.9040 -4.5972 -1.2090
S -3.1550 -12.7568 -1.6957
S -1.8091 -8.1690 -5.8392
Si -2.4570 -5.1946 0.2015
Si -5.6683 -8.6104 -3.7245
Si -1.2412 -3.6350 -5.5595
Si -6.8840 -10.1699 2.0365
Ba -3.2247 -10.5264 0.4458
Ba -1.7308 -1.1943 -0.8438
Ba -4.9005 -3.2785 -3.9688
Ba -2.4495 -10.9216 -4.3123
Ba -5.6757 -2.8833 0.7894
Ba -2.1275 -6.7889 -2.9346
Ba -6.3945 -12.6106 -2.6792
Ba -5.9978 -7.0160 -0.5884
! Energy = -156.48 eV for the cell shown
! ΔE_f (raw) = -11.540 eV/f.u.

No. 3
! BaSm2S4, relaxed, DFT GGA-PBEsol; values from VASP
&SYSTEM
  ibrav = 0, nat = 28, ntyp = 3
/
ATOMIC_SPECIES
S 32.06 S.upf
Sm 150.36 Sm.upf
Ba 137.33 Ba.upf
CELL_PARAMETERS angstrom
-0.7771 -3.4838 -2.0253
11.8227 -1.7738 -1.4851
0.4675 -7.4198 12.5836
ATOMIC_POSITIONS angstrom
S 6.4691 -7.9489 4.9538
S 9.8954 -7.9934 3.7158
S 2.4163 -2.5460 1.3733
S 0.7147 -9.5541 9.9229
S 0.2924 -6.2256 8.5175
S 7.3124 -2.1308 -1.2194
S 4.2008 -10.5466 10.2926
S 3.1150 -8.1259 6.5453
S 5.2800 -5.0992 0.5084
S 11.2208 -6.4518 0.5556
S 9.0969 -10.1314 7.6998
S 6.2331 -7.5782 8.5648
S 1.6178 -4.6840 5.3573
S 10.7984 -3.1233 -0.8497
S 8.3981 -4.5515 2.5279
S 5.0441 -4.7286 4.1193
Sm 4.9085 -2.4092 0.1817
Sm 6.6047 -10.2683 8.8915
Sm 0.5578 -7.2315 5.9879
Sm 0.4416 -3.5368 -0.3228
Sm 6.4887 -6.5784 2.5890
Sm 11.0716 -9.1406 9.3960
Sm 5.0245 -6.0990 6.4842
Sm 10.9553 -5.4459 3.0852
Ba 2.5205 -5.5842 2.4013
Ba 8.3469 -5.1217 -0.6297
Ba 3.1663 -7.5557 9.7028
Ba 8.9926 -7.0932 6.6719
! Energy = -179.42 eV for the cell shown
! ΔE_f (raw) = -14.985 eV/f.u.

No. 4
! BaSn2S3, relaxed, DFT GGA-PBEsol; values from VASP
&SYSTEM
  ibrav = 0, nat = 36, ntyp = 3
/
ATOMIC_SPECIES
S 32.06 S.upf
Sn 118.71 Sn.upf
Ba 137.33 Ba.upf
CELL_PARAMETERS angstrom
6.0903 0.0049 0.0000
-2.2734 11.5383 0.0000
0.0000 0.0000 13.3230
ATOMIC_POSITIONS angstrom
S 2.7373 4.4183 7.6036
S 2.3260 10.9436 1.4035
S 3.9684 8.2128 12.2497
S 4.1941 8.2316 3.3307
S 2.6814 4.4171 3.3307
S 1.3513 0.8084 3.3307
S -0.3772 3.3117 9.9922
S 1.4909 0.5996 8.0650
S 2.4655 10.7348 9.9922
S -0.1516 3.3304 1.0733
S 2.7373 4.4183 12.3809
S 3.9684 8.2128 7.7348
S 2.3260 10.9436 5.2580
S 1.0796 7.1250 0.9421
S -0.1516 3.3304 5.5882
S 1.1355 7.1262 9.9922
S 1.4909 0.5996 11.9195
S 1.0796 7.1250 5.7194
Sn 0.3058 5.1654 7.3885
Sn 1.8961 9.1144 3.3307
Sn 3.5111 6.3779 5.9345
Sn 0.3058 5.1654 12.5960
Sn 2.2833 2.6272 1.4926
Sn 4.8740 1.1923 3.3307
Sn 1.5335 8.9160 8.1541
Sn 1.5335 8.9160 11.8304
Sn 2.2833 2.6272 5.1689
Sn 3.5111 6.3779 0.7270
Sn 1.9208 2.4289 9.9922
Sn -1.0571 10.3510 9.9922
Ba -0.7525 10.0741 1.0497
Ba -0.7525 10.0741 5.6118
Ba -0.2993 5.4868 3.3307
Ba 4.1162 6.0565 9.9922
Ba 4.5694 1.4692 7.7112
Ba 4.5694 1.4692 12.2733
! Energy = -180.25 eV for the cell shown
! ΔE_f (raw) = -6.222 eV/f.u.

No. 5
! Ba2SnS, relaxed, DFT GGA-PBEsol; values from VASP
&SYSTEM
  ibrav = 0, nat = 4, ntyp = 3
/
ATOMIC_SPECIES
Sn 118.71 Sn.upf
S 32.06 S.upf
Ba 137.33 Ba.upf
CELL_PARAMETERS angstrom
5.7241 0.0000 0.0000
2.8620 4.9572 0.0000
2.8620 1.6524 4.6737
ATOMIC_POSITIONS angstrom
Sn 5.7241 3.3048 2.3368
S 0.0000 0.0000 0.0000
Ba 8.5861 4.9572 3.5053
Ba 2.8620 1.6524 1.1684
! Energy = -16.24 eV for the cell shown
! ΔE_f (raw) = -3.302 eV/f.u.

No. 6
! BaSn2S5, relaxed, DFT GGA-PBEsol; values from VASP
&SYSTEM
  ibrav = 0, nat = 32, ntyp = 3
/
ATOMIC_SPECIES
S 32.06 S.upf
Sn 118.71 Sn.upf
Ba 137.33 Ba.upf
CELL_PARAMETERS angstrom
6.6549 0.0000 0.0000
0.0000 10.6273 0.0000
0.0000 0.0000 11.2419
ATOMIC_POSITIONS angstrom
S 0.3326 5.6272 3.9047
S 0.4803 3.8487 0.7021
S 3.8077 6.7787 4.9189
S 3.6601 0.3135 7.3372
S 6.1747 6.7787 10.5399
S 6.3223 0.3135 1.7162
S 4.9912 2.6568 3.8275
S 6.3223 5.0002 7.3372
S 0.4803 1.4650 6.3230
S 6.1747 9.1624 4.9189
S 1.6637 7.9705 7.4145
S 3.6601 5.0002 1.7162
S 2.8472 3.8487 6.3230
S 2.8472 1.4650 0.7021
S 1.6637 7.9705 1.7935
S 2.9948 5.6272 9.5257
S 2.9948 10.3139 3.9047
S 3.8077 9.1624 10.5399
S 0.3326 10.3139 9.5257
S 4.9912 2.6568 9.4485
Sn 5.0183 0.6352 10.9183
Sn 1.6909 9.9922 5.9446
Sn 4.9641 0.6352 5.2973
Sn 4.9641 4.6785 10.9183
Sn 1.6366 9.9922 0.3237
Sn 5.0183 4.6785 5.2973
Sn 1.6909 5.9488 0.3237
Sn 1.6366 5.9488 5.9446
Ba 1.6637 2.6568 3.4020
Ba 4.9912 7.9705 2.2189
Ba 4.9912 7.9705 7.8399
Ba 1.6637 2.6568 9.0230
! Energy = -157.99 eV for the cell shown
! ΔE_f (raw) = -6.910 eV/f.u.